Entry from Alexandria via LeMat-Bulk: a relaxed structure of Be2TePb (PBE).

Computed properties:
- magnetic moment (Bohr magnetons per cell) = 0.00
- excess energy over the best structure of this formula in the dataset (meV per atom) = 333

Geometry as CIF:
```
data_Be2TePb
_symmetry_space_group_name_H-M 'P 1 2/m 1'
_symmetry_Int_Tables_number 10
_symmetry_space_group_name_Hall '-P 2y'
_cell_length_a 3.7960
_cell_length_b 3.7533
_cell_length_c 5.4505
_cell_angle_alpha 90.00
_cell_angle_beta 91.24
_cell_angle_gamma 90.00
loop_
_atom_site_label
_atom_site_type_symbol
_atom_site_fract_x
_atom_site_fract_y
_atom_site_fract_z
Be1 Be 0.0000 0.0000 0.0000
Be2 Be 0.5000 0.5000 0.5000
Te1 Te 0.0000 0.0000 0.5000
Pb1 Pb 0.5000 0.5000 0.0000
```

Entry from Alexandria via LeMat-Bulk: a relaxed structure of BeTe2Pb (PBE).

Computed properties:
- magnetic moment (Bohr magnetons per cell) = 0.00
- excess energy over the best structure of this formula in the dataset (meV per atom) = 535

Geometry as CIF:
```
data_BeTe2Pb
_symmetry_space_group_name_H-M 'C 1 2/m 1'
_symmetry_Int_Tables_number 12
_symmetry_space_group_name_Hall '-C 2y'
_cell_length_a 5.9087
_cell_length_b 8.7404
_cell_length_c 5.2710
_cell_angle_alpha 90.00
_cell_angle_beta 123.88
_cell_angle_gamma 90.00
loop_
_atom_site_label
_atom_site_type_symbol
_atom_site_fract_x
_atom_site_fract_y
_atom_site_fract_z
Be1 Be 0.0000 0.0000 0.0000
Te1 Te 0.2500 0.2500 0.5000
Pb1 Pb 0.0000 0.5000 0.0000
```